(1)
The following is a GGA-PBE calculation of a geometry-optimized Tb5TlHg6 structure, from Alexandria.

Cell lengths 5.1840, 7.6102, 9.1514 Å; angles 114.57, 106.45, 90.00 degrees
Fractional coordinates of all 12 atoms:
Tl1 0.0000 0.0000 0.0000
Tb1 0.6464 0.1464 0.2928
Tb2 0.3245 0.3245 0.6490
Tb3 0.0000 0.5000 0.0000
Tb4 0.6755 0.6755 0.3510
Tb5 0.3536 0.8536 0.7072
Hg1 0.8259 0.5627 0.6517
Hg2 0.8259 0.0890 0.6517
Hg3 0.5000 0.7242 0.0000
Hg4 0.5000 0.2758 0.0000
Hg5 0.1741 0.9110 0.3483
Hg6 0.1741 0.4373 0.3483

Values from the calculation:
Raw total energy   -32.45 eV/cell
Formation energy   -5.13 eV/f.u.
Crystal system   orthorhombic
SG   Immm

(2)
The following is a GGA-PBE calculation of a geometry-optimized PaIn2Cu9 structure, from Alexandria.

Cell lengths 5.0305, 5.0305, 8.6821 Å; angles 73.16, 73.16, 60.00 degrees
Fractional coordinates of all 12 atoms:
Pa1 0.0000 0.0000 0.0000
In1 0.8599 0.8599 0.4203
In2 0.1401 0.1401 0.5797
Cu1 0.6663 0.6663 0.0010
Cu2 0.3337 0.3337 0.9990
Cu3 0.5000 0.5000 0.5000
Cu4 0.4151 0.4151 0.2503
Cu5 0.9194 0.4151 0.2503
Cu6 0.4151 0.9194 0.2503
Cu7 0.5849 0.5849 0.7497
Cu8 0.5849 0.0806 0.7497
Cu9 0.0806 0.5849 0.7497

Values from the calculation:
Raw total energy   -52.64 eV/cell
Formation energy   -0.80 eV/f.u.
Crystal system   trigonal
SG   R-3m

| no. | D(E_F) (states/eV per cell) |
| --- | --- |
| 1 | 9.43 |
| 2 | 6.72 |